No. 1
Material: MnSb3
Method: DFT, PBEsol
State: optimized geometry

It has space group Cmcm (No. 63), with a = 8.055 Å, b = 13.325 Å, c = 3.667 Å, α = 90.00°, β = 90.00° and γ = 90.00°. The asymmetric unit holds Mn at (0.000, 0.078, 0.250), Sb at (0.000, 0.246, 0.750) and Sb at (0.250, 0.093, 0.750).

The crystal system is orthorhombic. Its energy above the most stable polymorph in this dataset is 0.000 eV per atom. The uncorrected formation energy is 0.1732 eV/atom. The total energy is -0.20892 Ha/atom.

---

No. 2
Material: Mn3Sb
Method: DFT, PBEsol
State: optimized geometry

It has space group P4/mmm (No. 123), with a = 4.123 Å, b = 4.123 Å, c = 3.062 Å, α = 90.00°, β = 90.00° and γ = 90.00°. The asymmetric unit holds Mn at (0.000, 0.000, 0.000), Mn at (0.000, 0.500, 0.500) and Sb at (0.500, 0.500, 0.000).

The crystal system is tetragonal. The uncorrected formation energy is 0.2329 eV/atom. The total energy is -0.30235 Ha/atom.

---

No. 3
Material: Mn3Sb
Method: DFT, PBEsol
State: optimized geometry

It has space group Pm-3m (No. 221), with a = 3.758 Å, b = 3.758 Å, c = 3.758 Å, α = 90.00°, β = 90.00° and γ = 90.00°. The asymmetric unit holds Mn at (0.000, 0.000, 0.500) and Sb at (0.500, 0.500, 0.500).

The crystal system is cubic. The uncorrected formation energy is 0.1394 eV/atom. The total energy is -0.30578 Ha/atom.

---

No. 4
Material: MnSb3
Method: DFT, PBEsol
State: optimized geometry

It has space group Immm (No. 71), with a = 3.362 Å, b = 4.511 Å, c = 12.306 Å, α = 90.00°, β = 90.00° and γ = 90.00°. The asymmetric unit holds Mn at (0.000, 0.000, 0.000), Sb at (0.000, 0.000, 0.500) and Sb at (0.000, 0.500, 0.323).

The crystal system is orthorhombic. Its energy above the most stable polymorph in this dataset is 0.056 eV per atom. The uncorrected formation energy is 0.2297 eV/atom. The total energy is -0.20685 Ha/atom.